Below is a geometry-optimized Rb2CaBr7 structure, with properties calculated at the GGA-PBE level.

Results
* uncorrected formation energy: -11.37 eV/f.u.
* magnetization: 0.0 μB/f.u.
* final energy: -2.70 eV per atom

Cell lengths 8.696, 8.696, 10.919 Å; angles 90.00, 90.00, 90.00 degrees
Space group I4/mmm (No. 139)
One atom of each set of equivalent atoms:
Rb (0.000, 0.500, 0.250) (multiplicity 4)
Ca (0.000, 0.000, 0.000) (multiplicity 2)
Br (0.000, 0.000, 0.271) (multiplicity 4)
Br (0.000, 0.000, 0.500) (multiplicity 2)
Br (0.229, 0.229, 0.000) (multiplicity 8)